# 1
# VSe3N, relaxed, DFT PBE
data_VSe3N
_chemical_formula_sum 'V1 Se3 N1'
_symmetry_space_group_name_H-M 'P m -3 m'
_symmetry_Int_Tables_number 221
_symmetry_space_group_name_Hall '-P 4 2 3'
_cell_length_a 4.376
_cell_length_b 4.376
_cell_length_c 4.376
_cell_angle_alpha 90.00
_cell_angle_beta 90.00
_cell_angle_gamma 90.00
loop_
_atom_site_label
_atom_site_type_symbol
_atom_site_fract_x
_atom_site_fract_y
_atom_site_fract_z
V1 V 0.000 0.000 0.000
Se1 Se 0.000 0.500 0.500
N1 N 0.500 0.500 0.500
# Formation energy from raw total energies: 3.95 eV per formula unit
# Volume: 16.8 Å³/atom
# Distance to the lowest polymorph of the same formula: 0.000 eV/atom



# 2
# VSe2N, relaxed, DFT PBE
data_VSe2N
_chemical_formula_sum 'V3 Se6 N3'
_symmetry_space_group_name_H-M 'R -3 m'
_symmetry_Int_Tables_number 166
_symmetry_space_group_name_Hall '-R 3 2"'
_cell_length_a 3.1691
_cell_length_b 3.1691
_cell_length_c 22.6256
_cell_angle_alpha 90.00
_cell_angle_beta 90.00
_cell_angle_gamma 120.00
loop_
_atom_site_label
_atom_site_type_symbol
_atom_site_fract_x
_atom_site_fract_y
_atom_site_fract_z
V1 V 0.0000 0.0000 0.0000
Se1 Se 0.0000 0.0000 0.1026
N1 N 0.0000 0.0000 0.5000
# Formation energy from raw total energies: 4.88 eV per formula unit
# Volume: 16.4 Å³/atom



# 3
# VSe2N2, relaxed, DFT PBE
data_VSe2N2
_chemical_formula_sum 'V1 Se2 N2'
_symmetry_space_group_name_H-M 'P 4/m m m'
_symmetry_Int_Tables_number 123
_symmetry_space_group_name_Hall '-P 4 2'
_cell_length_a 4.899
_cell_length_b 4.899
_cell_length_c 3.648
_cell_angle_alpha 90.00
_cell_angle_beta 90.00
_cell_angle_gamma 90.00
loop_
_atom_site_label
_atom_site_type_symbol
_atom_site_fract_x
_atom_site_fract_y
_atom_site_fract_z
V1 V 0.000 0.000 0.000
Se1 Se 0.000 0.500 0.000
N1 N 0.000 0.000 0.500
N2 N 0.500 0.500 0.500
# Formation energy from raw total energies: 5.64 eV per formula unit
# Volume: 17.5 Å³/atom
# Distance to the lowest polymorph of the same formula: 0.645 eV/atom



# 4
# VSeN2, relaxed, DFT PBE
data_VSeN2
_chemical_formula_sum 'V3 Se3 N6'
_symmetry_space_group_name_H-M 'R -3 m'
_symmetry_Int_Tables_number 166
_symmetry_space_group_name_Hall '-R 3 2"'
_cell_length_a 2.9222
_cell_length_b 2.9222
_cell_length_c 18.8433
_cell_angle_alpha 90.00
_cell_angle_beta 90.00
_cell_angle_gamma 120.00
loop_
_atom_site_label
_atom_site_type_symbol
_atom_site_fract_x
_atom_site_fract_y
_atom_site_fract_z
V1 V 0.0000 0.0000 0.0000
Se1 Se 0.0000 0.0000 0.5000
N1 N 0.0000 0.0000 0.3908
# Formation energy from raw total energies: -0.19 eV per formula unit
# Volume: 11.6 Å³/atom



# 5
# VSeN, relaxed, DFT PBE
data_VSeN
_chemical_formula_sum 'V4 Se4 N4'
_symmetry_space_group_name_H-M 'P n m a'
_symmetry_Int_Tables_number 62
_cell_length_a 10.721
_cell_length_b 3.080
_cell_length_c 5.983
_cell_angle_alpha 90.00
_cell_angle_beta 90.00
_cell_angle_gamma 90.00
loop_
_symmetry_equiv_pos_as_xyz
'x,y,z'
'-x,-y,-z'
'-x+1/2,-y,z+1/2'
'x+1/2,y,-z+1/2'
'x+1/2,-y+1/2,-z+1/2'
'-x+1/2,y+1/2,z+1/2'
'-x,y+1/2,-z'
'x,-y+1/2,z'
loop_
_atom_site_label
_atom_site_type_symbol
_atom_site_fract_x
_atom_site_fract_y
_atom_site_fract_z
V1 V 0.100 0.250 0.054
Se1 Se 0.171 0.750 0.366
N1 N 0.071 0.750 0.879
# Formation energy from raw total energies: -1.55 eV per formula unit
# Volume: 16.5 Å³/atom



# 6
# V2SeN, relaxed, DFT PBE
data_V2SeN
_chemical_formula_sum 'V8 Se4 N4'
_symmetry_space_group_name_H-M 'I -4 2 d'
_symmetry_Int_Tables_number 122
_symmetry_space_group_name_Hall 'I -4 2bw'
_cell_length_a 5.177
_cell_length_b 5.177
_cell_length_c 9.468
_cell_angle_alpha 90.00
_cell_angle_beta 90.00
_cell_angle_gamma 90.00
loop_
_atom_site_label
_atom_site_type_symbol
_atom_site_fract_x
_atom_site_fract_y
_atom_site_fract_z
V1 V 0.163 0.250 0.125
Se1 Se 0.000 0.000 0.500
N1 N 0.000 0.000 0.000
# Formation energy from raw total energies: -2.10 eV per formula unit
# Volume: 15.9 Å³/atom
# Distance to the lowest polymorph of the same formula: 0.000 eV/atom



# 7
# VSeN2, relaxed, DFT PBE
data_VSeN2
_chemical_formula_sum 'V4 Se4 N8'
_symmetry_space_group_name_H-M 'I -4 2 d'
_symmetry_Int_Tables_number 122
_symmetry_space_group_name_Hall 'I -4 2bw'
_cell_length_a 5.110
_cell_length_b 5.110
_cell_length_c 8.661
_cell_angle_alpha 90.00
_cell_angle_beta 90.00
_cell_angle_gamma 90.00
loop_
_atom_site_label
_atom_site_type_symbol
_atom_site_fract_x
_atom_site_fract_y
_atom_site_fract_z
V1 V 0.000 0.000 0.000
Se1 Se 0.000 0.000 0.500
N1 N 0.145 0.250 0.125
# Formation energy from raw total energies: 1.23 eV per formula unit
# Volume: 14.1 Å³/atom



# 8
# VSe3N, relaxed, DFT PBE
data_VSe3N
_chemical_formula_sum 'V1 Se3 N1'
_symmetry_space_group_name_H-M 'P m -3 m'
_symmetry_Int_Tables_number 221
_symmetry_space_group_name_Hall '-P 4 2 3'
_cell_length_a 4.817
_cell_length_b 4.817
_cell_length_c 4.817
_cell_angle_alpha 90.00
_cell_angle_beta 90.00
_cell_angle_gamma 90.00
loop_
_atom_site_label
_atom_site_type_symbol
_atom_site_fract_x
_atom_site_fract_y
_atom_site_fract_z
V1 V 0.000 0.000 0.000
Se1 Se 0.000 0.000 0.500
N1 N 0.500 0.500 0.500
# Formation energy from raw total energies: 4.68 eV per formula unit
# Volume: 22.4 Å³/atom
# Distance to the lowest polymorph of the same formula: 0.146 eV/atom



# 9
# VSe2N2, relaxed, DFT PBE
data_VSe2N2
_chemical_formula_sum 'V1 Se2 N2'
_symmetry_space_group_name_H-M 'P 4/m m m'
_symmetry_Int_Tables_number 123
_symmetry_space_group_name_Hall '-P 4 2'
_cell_length_a 3.793
_cell_length_b 3.793
_cell_length_c 5.098
_cell_angle_alpha 90.00
_cell_angle_beta 90.00
_cell_angle_gamma 90.00
loop_
_atom_site_label
_atom_site_type_symbol
_atom_site_fract_x
_atom_site_fract_y
_atom_site_fract_z
V1 V 0.000 0.000 0.000
Se1 Se 0.500 0.500 0.000
Se2 Se 0.500 0.500 0.500
N1 N 0.000 0.500 0.500
# Formation energy from raw total energies: 8.24 eV per formula unit
# Volume: 14.7 Å³/atom
# Distance to the lowest polymorph of the same formula: 1.166 eV/atom



# 10
# VSe2N2, relaxed, DFT PBE
data_VSe2N2
_chemical_formula_sum 'V1 Se2 N2'
_symmetry_space_group_name_H-M 'P 4/m m m'
_symmetry_Int_Tables_number 123
_symmetry_space_group_name_Hall '-P 4 2'
_cell_length_a 4.193
_cell_length_b 4.193
_cell_length_c 3.842
_cell_angle_alpha 90.00
_cell_angle_beta 90.00
_cell_angle_gamma 90.00
loop_
_atom_site_label
_atom_site_type_symbol
_atom_site_fract_x
_atom_site_fract_y
_atom_site_fract_z
V1 V 0.000 0.000 0.000
Se1 Se 0.000 0.500 0.500
N1 N 0.500 0.500 0.000
N2 N 0.500 0.500 0.500
# Formation energy from raw total energies: 6.90 eV per formula unit
# Volume: 13.5 Å³/atom
# Distance to the lowest polymorph of the same formula: 0.898 eV/atom



# 11
# VWSeN2, relaxed, DFT PBE
data_VWSeN2
_chemical_formula_sum 'V1 W1 Se1 N2'
_symmetry_space_group_name_H-M 'P 4/m m m'
_symmetry_Int_Tables_number 123
_symmetry_space_group_name_Hall '-P 4 2'
_cell_length_a 3.777
_cell_length_b 3.777
_cell_length_c 5.071
_cell_angle_alpha 90.00
_cell_angle_beta 90.00
_cell_angle_gamma 90.00
loop_
_atom_site_label
_atom_site_type_symbol
_atom_site_fract_x
_atom_site_fract_y
_atom_site_fract_z
V1 V 0.000 0.000 0.000
W1 W 0.500 0.500 0.500
Se1 Se 0.000 0.000 0.500
N1 N 0.000 0.500 0.000
# Formation energy from raw total energies: 4.79 eV per formula unit
# Volume: 14.5 Å³/atom
# Distance to the lowest polymorph of the same formula: 0.354 eV/atom



# 12
# VWSe2N, relaxed, DFT PBE
data_VWSe2N
_chemical_formula_sum 'V1 W1 Se2 N1'
_symmetry_space_group_name_H-M 'P 4/m m m'
_symmetry_Int_Tables_number 123
_symmetry_space_group_name_Hall '-P 4 2'
_cell_length_a 4.947
_cell_length_b 4.947
_cell_length_c 3.543
_cell_angle_alpha 90.00
_cell_angle_beta 90.00
_cell_angle_gamma 90.00
loop_
_atom_site_label
_atom_site_type_symbol
_atom_site_fract_x
_atom_site_fract_y
_atom_site_fract_z
V1 V 0.000 0.000 0.000
W1 W 0.500 0.500 0.500
Se1 Se 0.000 0.500 0.000
N1 N 0.000 0.000 0.500
# Formation energy from raw total energies: 3.30 eV per formula unit
# Volume: 17.3 Å³/atom
# Distance to the lowest polymorph of the same formula: 0.076 eV/atom



- Which value of formation energy from raw total energies does entry 2 give?
  4.88 eV per formula unit



- Among the records above, which one has the highest volume?
  number 8



- Which of these has the lowest volume?
  number 4



- Among the records above, which one has the lowest formation energy from raw total energies?
  V2SeN